Entry 1:
This record from Alexandria describes a relaxed structure of Mg3TcH6. The functional is PBE.

Cell and atoms, written as POSCAR:
```
Mg3TcH6
1.0
-0.899 -4.647 -3.275
2.551 -3.115 4.113
-5.156 -0.494 2.510
Mg Tc H
6 2 12
direct
0.449 0.913 0.753
0.913 0.753 0.449
0.247 0.551 0.087
0.753 0.449 0.913
0.087 0.247 0.551
0.551 0.087 0.247
0.000 0.000 0.000
0.500 0.500 0.500
0.294 0.917 0.066
0.083 0.934 0.706
0.562 0.797 0.437
0.934 0.706 0.083
0.437 0.562 0.797
0.203 0.563 0.438
0.797 0.437 0.562
0.563 0.438 0.203
0.066 0.294 0.917
0.438 0.203 0.563
0.917 0.066 0.294
0.706 0.083 0.934
```

Calculated values
SG: No. 148
energy: -73.007 eV per cell

=====

Entry 2:
This record from Alexandria describes a relaxed structure of La2BiIr2. The functional is PBE.

Cell and atoms, written as POSCAR:
```
La2BiIr2
1.0
-4.083 0.366 3.979
-3.995 -0.390 -4.064
-4.031 -4.099 0.342
Ir Bi La
2 1 2
direct
0.345 0.345 0.311
0.655 0.655 0.689
0.000 0.000 0.000
0.750 0.250 0.500
0.250 0.750 0.500
```

Calculated values
SG: No. 139
calculated formation energy: -0.5269 eV/atom
distance to the lowest polymorph of the same formula: 111 meV/atom

=====

Let's list total moment in order: 0.0, 0.0 μB per formula unit.